No. 1
Here is a relaxed structure of KBeSbO4 from Alexandria. Energies are from PBE.

Output
E_form (uncorrected) = -1.82 eV/atom
crystal system = tetragonal
N(E_F) = 0.0 states/eV per cell
space-group type = I-4

abc: 5.4618 5.4618 5.4130
angles: 120.30 120.30 90.00
Last column: nearest neighbours and their distance in Å.
Fractional positions:
Sb 0.5000 0.5000 0.0000  4 O 1.90
O 0.2460 0.0947 0.7204  1 Be 1.65
O 0.4744 0.6257 0.7204  1 Be 1.65
O 0.9053 0.5256 0.2796  1 Be 1.65
O 0.3743 0.7540 0.2796  1 Be 1.65
Be 0.2500 0.7500 0.5000  4 O 1.65
K 0.0000 0.0000 0.0000  4 O 2.68

No. 2
Here is a relaxed structure of KSc2BeO from Alexandria. Energies are from PBE.

Output
E_form (uncorrected) = 1.93 eV/atom
crystal system = tetragonal
N(E_F) = 6.4 states/eV per cell
space-group type = P4/mmm

abc: 4.9981 3.9982 4.9981
angles: 90.00 90.00 90.00
Last column: nearest neighbours and their distance in Å.
Fractional positions:
K 0.0000 0.0000 0.0000  2 Be 2.00
Sc 0.0000 0.0000 0.5000  2 K 2.50
Sc 0.5000 0.0000 0.0000  2 K 2.50
Be 0.0000 0.5000 0.0000  2 K 2.00
O 0.5000 0.5000 0.5000  8 Sc 3.20, 4 Be 3.53